Below is Na8CdPb6 after structural relaxation, with properties calculated at the PBE level.

Lattice parameters (Å, degrees): 9.468 9.468 8.469 56.02 56.02 60.00
Element x y z (fractional)
Na (0.855, 0.603, 0.382)
Na (0.320, 0.320, 0.040)
Na (0.160, 0.855, 0.382)
Na (0.397, 0.840, 0.618)
Na (0.145, 0.397, 0.618)
Na (0.840, 0.145, 0.618)
Na (0.680, 0.680, 0.960)
Na (0.603, 0.160, 0.382)
Pb (0.634, 0.962, 0.109)
Pb (0.962, 0.296, 0.109)
Pb (0.704, 0.366, 0.891)
Pb (0.366, 0.038, 0.891)
Pb (0.038, 0.704, 0.891)
Pb (0.296, 0.634, 0.109)
Cd (0.000, 0.000, 0.000)

Values from the calculation:
size of the total moment = 0.00 μB/atom
symmetry = R-3 (148)
ΔE_f = -0.078 eV/atom
density of states at the Fermi level = 7.30 states/eV/f.u.